Entry 1:
The following is a DFT calculation (PBE) of a relaxed structure of LaY2Th.

```
data_LaY2Th
_chemical_formula_sum 'La4 Y8 Th4'
_space_group_name_H-M_alt 'F m -3 m'
_space_group_IT_number 225
_space_group_name_Hall '-F 4 2 3'
_cell_length_a 8.132
_cell_length_b 8.132
_cell_length_c 8.132
_cell_angle_alpha 90.00
_cell_angle_beta 90.00
_cell_angle_gamma 90.00
loop_
_atom_site_label
_atom_site_type_symbol
_atom_site_fract_x
_atom_site_fract_y
_atom_site_fract_z
La1 La 0.000 0.000 0.000
Y1 Y 0.250 0.250 0.250
Th1 Th 0.000 0.000 0.500
```

Properties
- V: 33.61 Å³ per atom
- Energy above the lowest structure with this stoichiometry: 0.102 eV per atom
- Energy of formation: 0.48 eV per formula unit
- Total magnetic moment: 0.00 μB per formula unit
- Energy: -99.2 eV for the cell shown



Entry 2:
The following is a DFT calculation (PBE) of a relaxed structure of La3Y2Th.

```
data_La3Y2Th
_chemical_formula_sum 'La12 Y8 Th4'
_space_group_name_H-M_alt 'I m m a'
_space_group_IT_number 74
_space_group_name_Hall '-I 2b 2'
_cell_length_a 5.190
_cell_length_b 10.301
_cell_length_c 15.526
_cell_angle_alpha 90.00
_cell_angle_beta 90.00
_cell_angle_gamma 90.00
loop_
_atom_site_label
_atom_site_type_symbol
_atom_site_fract_x
_atom_site_fract_y
_atom_site_fract_z
La1 La 0.000 0.000 0.000
La2 La 0.000 0.005 0.332
Y1 Y 0.000 0.250 0.496
Y2 Y 0.000 0.250 0.834
Th1 Th 0.000 0.250 0.171
```

Properties
- V: 34.58 Å³ per atom
- Energy above the lowest structure with this stoichiometry: 0.000 eV per atom
- Energy of formation: 0.23 eV per formula unit
- Total magnetic moment: 0.00 μB per formula unit
- Energy: -139.6 eV for the cell shown



Entry 3:
The following is a DFT calculation (PBE) of a relaxed structure of La3Y3Th2.

```
data_La3Y3Th2
_chemical_formula_sum 'La6 Y6 Th4'
_space_group_name_H-M_alt 'I m m m'
_space_group_IT_number 71
_space_group_name_Hall '-I 2 2'
_cell_length_a 5.081
_cell_length_b 5.140
_cell_length_c 20.876
_cell_angle_alpha 90.00
_cell_angle_beta 90.00
_cell_angle_gamma 90.00
loop_
_atom_site_label
_atom_site_type_symbol
_atom_site_fract_x
_atom_site_fract_y
_atom_site_fract_z
La1 La 0.000 0.000 0.000
La2 La 0.000 0.500 0.131
Y1 Y 0.000 0.000 0.500
Y2 Y 0.000 0.500 0.370
Th1 Th 0.000 0.000 0.250
```

Properties
- V: 34.08 Å³ per atom
- Energy above the lowest structure with this stoichiometry: 0.000 eV per atom
- Energy of formation: 0.30 eV per formula unit
- Total magnetic moment: 0.00 μB per formula unit
- Energy: -97.4 eV for the cell shown



Entry 4:
The following is a DFT calculation (PBE) of a relaxed structure of La8Y6Th.

```
data_La8Y6Th
_chemical_formula_sum 'La24 Y18 Th3'
_space_group_name_H-M_alt 'R -3'
_space_group_IT_number 148
_space_group_name_Hall '-R 3'
_cell_length_a 9.2366
_cell_length_b 9.2366
_cell_length_c 21.2584
_cell_angle_alpha 90.00
_cell_angle_beta 90.00
_cell_angle_gamma 120.00
loop_
_atom_site_label
_atom_site_type_symbol
_atom_site_fract_x
_atom_site_fract_y
_atom_site_fract_z
La1 La 0.0000 0.0000 0.0775
La2 La 0.0797 0.5172 0.3037
Y1 Y 0.0424 0.7984 0.2053
Th1 Th 0.0000 0.0000 0.5000
```

Properties
- V: 34.90 Å³ per atom
- Energy of formation: 1.57 eV per formula unit
- Total magnetic moment: 0.00 μB per formula unit
- Energy: -252.2 eV for the cell shown



Entry 5:
The following is a DFT calculation (PBE) of a relaxed structure of LaY3Th.

```
data_LaY3Th
_chemical_formula_sum 'La2 Y6 Th2'
_space_group_name_H-M_alt 'P -1'
_space_group_IT_number 2
_space_group_name_Hall '-P 1'
_cell_length_a 6.285
_cell_length_b 6.903
_cell_length_c 8.573
_cell_angle_alpha 76.49
_cell_angle_beta 68.66
_cell_angle_gamma 89.97
loop_
_atom_site_label
_atom_site_type_symbol
_atom_site_fract_x
_atom_site_fract_y
_atom_site_fract_z
La1 La 0.023 0.441 0.302
Y1 Y 0.223 0.854 0.900
Y2 Y 0.385 0.338 0.904
Y3 Y 0.411 0.244 0.503
Th1 Th 0.174 0.942 0.305
```

Properties
- V: 33.54 Å³ per atom
- Energy above the lowest structure with this stoichiometry: 0.000 eV per atom
- Energy of formation: 0.22 eV per formula unit
- Total magnetic moment: 0.00 μB per formula unit
- Energy: -63.0 eV for the cell shown



Entry 6:
The following is a DFT calculation (PBE) of a relaxed structure of La4Y3Th2.

```
data_La4Y3Th2
_chemical_formula_sum 'La8 Y6 Th4'
_space_group_name_H-M_alt 'C 1 2/m 1'
_space_group_IT_number 12
_space_group_name_Hall '-C 2y'
_cell_length_a 11.800
_cell_length_b 5.776
_cell_length_c 9.402
_cell_angle_alpha 90.00
_cell_angle_beta 104.15
_cell_angle_gamma 90.00
loop_
_atom_site_label
_atom_site_type_symbol
_atom_site_fract_x
_atom_site_fract_y
_atom_site_fract_z
La1 La 0.186 0.000 0.446
La2 La 0.240 0.500 0.872
Y1 Y 0.000 0.500 0.500
Y2 Y 0.097 0.500 0.180
Th1 Th 0.074 0.000 0.780
```

Properties
- V: 34.52 Å³ per atom
- Energy of formation: 1.27 eV per formula unit
- Total magnetic moment: 0.00 μB per formula unit
- Energy: -105.3 eV for the cell shown